No. 1
VASP calculation (PBE-GGA) on a relaxed RbNpMnBr6 crystal.

Geometry as CIF:
```
data_RbNpMnBr6
_chemical_formula_sum 'Rb2 Np2 Mn2 Br12'
_symmetry_space_group_name_H-M 'P -3 1 c'
_symmetry_Int_Tables_number 163
_symmetry_space_group_name_Hall '-P 3 2c'
_cell_length_a 7.2882
_cell_length_b 7.2882
_cell_length_c 15.2438
_cell_angle_alpha 90.00
_cell_angle_beta 90.00
_cell_angle_gamma 120.00
loop_
_atom_site_label
_atom_site_fract_x
_atom_site_fract_y
_atom_site_fract_z
Rb1 0.0000 0.0000 0.0000
Np1 0.3333 0.6667 0.2500
Mn1 0.3333 0.6667 0.7500
Br1 0.0186 0.3819 0.6450
```



No. 2
VASP calculation (PBE-GGA) on a relaxed RbNpMn2Br8 crystal.

Geometry as CIF:
```
data_RbNpMn2Br8
_chemical_formula_sum 'Rb3 Np3 Mn6 Br24'
_symmetry_space_group_name_H-M 'R 3 2'
_symmetry_Int_Tables_number 155
_symmetry_space_group_name_Hall 'R 3 2"'
_cell_length_a 6.8867
_cell_length_b 6.8867
_cell_length_c 32.7259
_cell_angle_alpha 90.00
_cell_angle_beta 90.00
_cell_angle_gamma 120.00
loop_
_atom_site_label
_atom_site_fract_x
_atom_site_fract_y
_atom_site_fract_z
Rb1 0.0000 0.0000 0.0000
Np1 0.0000 0.0000 0.5000
Mn1 0.0000 0.0000 0.2496
Br1 0.0000 0.0000 0.3234
Br2 0.0049 0.3499 0.2243
```



no.,VASP energy (eV/atom),formation energy without anion corrections (eV/atom),magnetic moment (Bohr magnetons per cell)
1,-4.93,-1.249,2.00
2,-4.87,-1.071,18.00